No. 1
DFT (GGA-PBE) results for crystalline TbHoMgTc at its relaxed geometry.

```
TbHoMgTc
1.0
0.000 3.558 3.558
3.558 0.000 3.558
3.558 3.558 0.000
Tb Ho Mg Tc
1 1 1 1
direct
0.000 0.000 0.000
0.500 0.500 0.500
0.750 0.750 0.750
0.250 0.250 0.250
```

Output
As for the total moment: 0.00 μB per formula unit. The space group is No. 216. Its formation energy is -13 meV per atom.

No. 2
DFT (GGA-PBE) results for crystalline Tb3Ho3MgTe8 at its relaxed geometry.

```
Tb3Ho3MgTe8
1.0
4.340 2.505 7.106
-4.340 2.505 7.106
0.000 -5.011 7.106
Tb Ho Mg Te
3 3 1 8
direct
0.000 0.500 0.500
0.500 0.000 0.500
0.500 0.500 0.000
0.000 0.000 0.500
0.000 0.500 0.000
0.500 0.000 0.000
0.500 0.500 0.500
0.249 0.249 0.249
0.251 0.747 0.747
0.253 0.253 0.749
0.253 0.749 0.253
0.747 0.251 0.747
0.747 0.747 0.251
0.749 0.253 0.253
0.751 0.751 0.751
```

Output
As for the uncorrected energy: -4.902 eV per atom. As for the total moment: 0.00 μB per formula unit. The space group is No. 166.

No. 3
DFT (GGA-PBE) results for crystalline TbHoMgTi at its relaxed geometry.

```
TbHoMgTi
1.0
0.000 3.710 3.710
3.710 0.000 3.710
3.710 3.710 0.000
Tb Ho Mg Ti
1 1 1 1
direct
0.000 0.000 0.000
0.500 0.500 0.500
0.750 0.750 0.750
0.250 0.250 0.250
```

Output
As for the total moment: 2.10 μB per formula unit. The space group is No. 216. Its formation energy is 143 meV per atom.

No. 4
DFT (GGA-PBE) results for crystalline TbHoMgTl at its relaxed geometry.

```
TbHoMgTl
1.0
0.000 3.772 3.772
3.772 0.000 3.772
3.772 3.772 0.000
Tb Ho Mg Tl
1 1 1 1
direct
0.000 0.000 0.000
0.500 0.500 0.500
0.250 0.250 0.250
0.750 0.750 0.750
```

Output
As for the total moment: 0.00 μB per formula unit. The space group is No. 216. Its formation energy is -231 meV per atom.

No. 5
DFT (GGA-PBE) results for crystalline Tb3Ho2Tm6Mg at its relaxed geometry.

```
Tb3Ho2Tm6Mg
1.0
3.027 -5.245 0.000
3.027 5.245 0.000
-2.030 0.000 11.390
Tb Ho Tm Mg
3 2 6 1
direct
0.000 0.000 0.000
0.334 0.666 0.000
0.666 0.334 0.000
0.166 0.834 0.500
0.834 0.166 0.500
0.085 0.418 0.252
0.249 0.249 0.748
0.418 0.085 0.252
0.582 0.915 0.748
0.751 0.751 0.252
0.915 0.582 0.748
0.500 0.500 0.500
```

Output
As for the total moment: 0.00 μB per formula unit. The space group is No. 12. Its formation energy is 34 meV per atom.

No. 6
DFT (GGA-PBE) results for crystalline TbHo4Tm2Mg at its relaxed geometry.

```
TbHo4Tm2Mg
1.0
4.923 0.000 0.000
0.000 4.933 0.000
0.000 0.000 9.866
Tb Ho Tm Mg
1 4 2 1
direct
0.000 0.000 0.000
0.000 0.500 0.253
0.000 0.500 0.747
0.500 0.000 0.253
0.500 0.000 0.747
0.000 0.000 0.500
0.500 0.500 0.000
0.500 0.500 0.500
```

Output
As for the total moment: 0.00 μB per formula unit. The space group is No. 47. Its formation energy is 21 meV per atom.

No. 7
DFT (GGA-PBE) results for crystalline TbHo2Tm2Mg at its relaxed geometry.

```
TbHo2Tm2Mg
1.0
10.192 0.000 0.000
0.000 11.641 0.000
0.000 0.000 3.585
Tb Ho Tm Mg
2 4 4 2
direct
0.000 0.000 0.000
0.500 0.500 0.500
0.093 0.224 0.500
0.407 0.724 0.000
0.593 0.276 0.000
0.907 0.776 0.500
0.249 0.427 0.000
0.251 0.927 0.500
0.749 0.073 0.500
0.751 0.573 0.000
0.000 0.500 0.500
0.500 0.000 0.000
```

Output
As for the total moment: 0.00 μB per formula unit. The space group is No. 58. Its formation energy is 492 meV per atom.

No. 8
DFT (GGA-PBE) results for crystalline TbHo2Tm2Mg2 at its relaxed geometry.

```
TbHo2Tm2Mg2
1.0
2.699 1.558 7.934
-2.699 1.558 7.934
0.000 -3.116 7.934
Tb Ho Tm Mg
1 2 2 2
direct
0.000 0.000 0.000
0.427 0.427 0.427
0.573 0.573 0.573
0.155 0.155 0.155
0.845 0.845 0.845
0.289 0.289 0.289
0.711 0.711 0.711
```

Output
As for the total moment: 0.00 μB per formula unit. The space group is No. 166. Its formation energy is -23 meV per atom.

Calculated volume for every record listed, in sequence, given in Å³ per atom: 22.5 30.9 25.5 26.8 30.1 30.0 35.4 28.6.